No. 1
DFT (GGA-PBE) results for a relaxed Ti2TeAu2 crystal.

Results
polymorph energy (0 for the lowest one): 160.8 meV/atom
raw formation energy: -0.6 eV/f.u.
crystal system: tetragonal

Geometry as CIF:
```
data_Ti2TeAu2
_space_group_name_H-M_alt 'P 4/m b m'
_space_group_IT_number 127
_space_group_name_Hall '-P 4 2ab'
_cell_length_a 7.5297
_cell_length_b 7.5297
_cell_length_c 3.5100
_cell_angle_alpha 90.00
_cell_angle_beta 90.00
_cell_angle_gamma 90.00
loop_
_atom_site_label
_atom_site_fract_x
_atom_site_fract_y
_atom_site_fract_z
Ti1 0.1602 0.3398 0.0000
Te1 0.0000 0.0000 0.5000
Au1 0.1315 0.6315 0.5000
```

No. 2
DFT (GGA-PBE) results for a relaxed CsPbN2 crystal.

Results
raw formation energy: 5.1 eV/f.u.
crystal system: trigonal

Geometry as CIF:
```
data_CsPbN2
_space_group_name_H-M_alt 'R -3 m'
_space_group_IT_number 166
_space_group_name_Hall '-R 3 2"'
_cell_length_a 4.6758
_cell_length_b 4.6758
_cell_length_c 22.3396
_cell_angle_alpha 90.00
_cell_angle_beta 90.00
_cell_angle_gamma 120.00
loop_
_atom_site_label
_atom_site_fract_x
_atom_site_fract_y
_atom_site_fract_z
Cs1 0.0000 0.0000 0.0000
Pb1 0.0000 0.0000 0.5000
N1 0.0000 0.0000 0.4115
```

No. 3
DFT (GGA-PBE) results for a relaxed Ac4SbPb2N2 crystal.

Results
raw formation energy: -7.4 eV/f.u.
crystal system: monoclinic

Geometry as CIF:
```
data_Ac4SbPb2N2
_space_group_name_H-M_alt 'C 1 2/m 1'
_space_group_IT_number 12
_space_group_name_Hall '-C 2y'
_cell_length_a 18.6346
_cell_length_b 4.2951
_cell_length_c 8.2451
_cell_angle_alpha 90.00
_cell_angle_beta 113.94
_cell_angle_gamma 90.00
loop_
_atom_site_label
_atom_site_fract_x
_atom_site_fract_y
_atom_site_fract_z
Ac1 0.0533 0.0000 0.2687
Ac2 0.2190 0.5000 0.6553
Sb1 0.0000 0.5000 0.5000
Pb1 0.1170 0.5000 0.9751
N1 0.1829 0.0000 0.4782
```

No. 4
DFT (GGA-PBE) results for a relaxed RbScSe2 crystal.

Results
raw formation energy: -6.3 eV/f.u.
crystal system: trigonal

Geometry as CIF:
```
data_RbScSe2
_space_group_name_H-M_alt 'P -3 m 1'
_space_group_IT_number 164
_space_group_name_Hall '-P 3 2"'
_cell_length_a 4.0238
_cell_length_b 4.0238
_cell_length_c 8.0694
_cell_angle_alpha 90.00
_cell_angle_beta 90.00
_cell_angle_gamma 120.00
loop_
_atom_site_label
_atom_site_fract_x
_atom_site_fract_y
_atom_site_fract_z
Rb1 0.0000 0.0000 0.0000
Sc1 0.0000 0.0000 0.5000
Se1 0.3333 0.6667 0.6851
```

No. 5
DFT (GGA-PBE) results for a relaxed PuInNi crystal.

Results
formation energy: 0.00 eV per atom
crystal system: monoclinic

Geometry as CIF:
```
data_PuInNi
_space_group_name_H-M_alt 'C 1 2/m 1'
_space_group_IT_number 12
_space_group_name_Hall '-C 2y'
_cell_length_a 7.8930
_cell_length_b 4.5651
_cell_length_c 8.0792
_cell_angle_alpha 90.00
_cell_angle_beta 109.19
_cell_angle_gamma 90.00
loop_
_atom_site_label
_atom_site_fract_x
_atom_site_fract_y
_atom_site_fract_z
Pu1 0.2472 0.0000 0.2425
In1 0.0000 0.0000 0.5000
In2 0.0000 0.5000 0.0000
Ni1 0.1312 0.5000 0.3938
```

No. 6
DFT (GGA-PBE) results for a relaxed Tl3SbSe crystal.

Results
polymorph energy (0 for the lowest one): 5.8 meV/atom
raw formation energy: -0.9 eV/f.u.
crystal system: monoclinic

Geometry as CIF:
```
data_Tl3SbSe
_space_group_name_H-M_alt 'P 1 21/m 1'
_space_group_IT_number 11
_space_group_name_Hall '-P 2yb'
_cell_length_a 8.7470
_cell_length_b 4.2831
_cell_length_c 9.9181
_cell_angle_alpha 90.00
_cell_angle_beta 114.80
_cell_angle_gamma 90.00
loop_
_atom_site_label
_atom_site_fract_x
_atom_site_fract_y
_atom_site_fract_z
Tl1 0.0080 0.2500 0.1490
Tl2 0.1970 0.7500 0.5769
Tl3 0.4017 0.7500 0.1168
Sb1 0.4153 0.2500 0.3969
Se1 0.2388 0.2500 0.8337
```

No. 7
DFT (GGA-PBE) results for a relaxed PrSm3Th4S8 crystal.

Results
raw formation energy: -30.8 eV/f.u.
crystal system: trigonal

Geometry as CIF:
```
data_PrSm3Th4S8
_space_group_name_H-M_alt 'R -3 m'
_space_group_IT_number 166
_space_group_name_Hall '-R 3 2"'
_cell_length_a 7.9963
_cell_length_b 7.9963
_cell_length_c 20.1350
_cell_angle_alpha 90.00
_cell_angle_beta 90.00
_cell_angle_gamma 120.00
loop_
_atom_site_label
_atom_site_fract_x
_atom_site_fract_y
_atom_site_fract_z
Pr1 0.0000 0.0000 0.0000
Sm1 0.0000 0.5000 0.0000
Th1 0.0000 0.0000 0.5000
Th2 0.0000 0.5000 0.5000
S1 0.0000 0.0000 0.2519
S2 0.0036 0.5018 0.2511
```

No. 8
DFT (GGA-PBE) results for a relaxed Li2C2F crystal.

Results
polymorph energy (0 for the lowest one): 0.0 meV/atom
raw formation energy: -1.5 eV/f.u.
crystal system: tetragonal

Geometry as CIF:
```
data_Li2C2F
_space_group_name_H-M_alt 'P 4/m b m'
_space_group_IT_number 127
_space_group_name_Hall '-P 4 2ab'
_cell_length_a 5.5912
_cell_length_b 5.5912
_cell_length_c 3.5421
_cell_angle_alpha 90.00
_cell_angle_beta 90.00
_cell_angle_gamma 90.00
loop_
_atom_site_label
_atom_site_fract_x
_atom_site_fract_y
_atom_site_fract_z
Li1 0.2108 0.2892 0.0000
C1 0.0800 0.5800 0.5000
F1 0.0000 0.0000 0.0000
```

V for every record listed, in sequence, given in Å³/atom: 19.9; 35.2; 33.5; 28.3; 22.9; 33.7; 23.2; 11.1.
Total magnetization for every record listed, in sequence, given in μB/cell: 3.12; 3.00; 0.00; 0.00; 22.29; 0.00; 0.00; 2.00.